The following is a DFT calculation (PBE+U) of a relaxed Fe2MoAuF crystal.

## Properties
For the total moment, the calculation gives 12.50 μB/cell. The calculation puts the final energy at -3.80 eV/atom.

Cell lengths 5.0991, 4.5095, 5.0991 Å; angles 90.00, 90.00, 90.00 degrees
Last column: nearest neighbours and their distance in Å.
Fractional positions:
Mo1 0.5000 0.5000 0.5000  8 Fe 3.40, 4 F 3.61
Au1 0.0000 0.0000 0.0000  2 F 2.25
Fe1 0.0000 0.0000 0.5000  2 Au 2.55
Fe2 0.5000 0.0000 0.0000  2 Au 2.55
F1 0.0000 0.5000 0.0000  2 Au 2.25